(1)
Compound: Sr5Tm
Source: Alexandria via LeMat-Bulk
Functional: PBE-GGA
Structure: optimized geometry

formation energy	0.82	eV/f.u.
symmetry	Cmmm (65)

Cell lengths 4.405, 6.565, 10.404 Å; angles 108.39, 90.00, 90.00 degrees
Fractional positions:
1 Sr 0.000 0.671 0.342
2 Sr 0.000 0.329 0.658
3 Sr 0.500 0.500 0.000
4 Sr 0.500 0.152 0.303
5 Sr 0.500 0.848 0.697
6 Tm 0.000 0.000 0.000



(2)
Compound: Li2As2Au
Source: Alexandria via LeMat-Bulk
Functional: PBE-GGA
Structure: optimized geometry

formation energy	-1.92	eV/f.u.
offset from the most stable computed form	52	meV per atom
symmetry	Immm (71)

Cell lengths 4.150, 5.349, 5.349 Å; angles 64.73, 67.18, 67.18 degrees
Fractional positions:
1 Li 0.789 0.711 0.711
2 Li 0.211 0.289 0.289
3 As 0.500 0.276 0.724
4 As 0.500 0.724 0.276
5 Au 0.000 0.000 0.000



(3)
Compound: Nd3GaNi3
Source: Alexandria via LeMat-Bulk
Functional: PBE-GGA
Structure: optimized geometry

formation energy	-3.00	eV/f.u.
offset from the most stable computed form	0	meV per atom
symmetry	Cmcm (63)

Cell lengths 4.155, 5.554, 13.503 Å; angles 90.00, 90.00, 111.97 degrees
Fractional positions:
1 Nd 0.217 0.435 0.896
2 Nd 0.783 0.565 0.104
3 Nd 0.217 0.435 0.604
4 Nd 0.783 0.565 0.396
5 Nd 0.500 0.000 0.750
6 Nd 0.500 0.000 0.250
7 Ga 0.500 0.000 0.000
8 Ga 0.500 0.000 0.500
9 Ni 0.928 0.855 0.912
10 Ni 0.072 0.145 0.088
11 Ni 0.928 0.855 0.588
12 Ni 0.072 0.145 0.412
13 Ni 0.801 0.603 0.750
14 Ni 0.199 0.397 0.250



(4)
Compound: MnCu2H
Source: Alexandria via LeMat-Bulk
Functional: PBE-GGA
Structure: optimized geometry

offset from the most stable computed form	366	meV per atom
symmetry	Fm-3m (225)

Cell lengths 4.032, 4.032, 4.032 Å; angles 60.00, 60.00, 60.00 degrees
Last column: magnetic moment on the atom in μB.
Fractional positions:
1 H 0.000 0.000 0.000  -0.01
2 Mn 0.500 0.500 0.500  3.52
3 Cu 0.250 0.250 0.250  0.10
4 Cu 0.750 0.750 0.750  0.10



(5)
Compound: Rb5PS4F2
Source: Alexandria via LeMat-Bulk
Functional: PBE-GGA
Structure: optimized geometry

symmetry	Amm2 (38)
formation energy (no corrections)	-145.47	kJ/mol of atoms

Cell lengths 7.425, 7.086, 8.581 Å; angles 90.00, 90.00, 121.60 degrees
Fractional positions:
1 Rb 0.116 0.404 0.267
2 Rb 0.319 0.000 0.500
3 Rb 0.116 0.404 0.733
4 Rb 0.712 0.596 0.733
5 Rb 0.712 0.596 0.267
6 P 0.418 0.000 0.000
7 S 0.580 0.000 0.196
8 S 0.580 0.000 0.804
9 S 0.386 0.272 0.000
10 S 0.114 0.728 0.000
11 F 0.969 0.586 0.500
12 F 0.382 0.414 0.500



(6)
Compound: Fe5Ir
Source: Alexandria via LeMat-Bulk
Functional: PBE-GGA
Structure: optimized geometry

formation energy	0.42	eV/f.u.
offset from the most stable computed form	103	meV per atom
symmetry	Cm (8)

Cell lengths 2.560, 4.769, 5.957 Å; angles 76.40, 90.00, 105.57 degrees
Last column: magnetic moment on the atom in μB.
Fractional positions:
1 Fe 0.999 0.999 0.995  0.85
2 Fe 0.668 0.335 0.661  -1.49
3 Fe 0.335 0.671 0.341  1.07
4 Fe 0.392 0.784 0.716  1.14
5 Fe 0.051 0.102 0.396  -1.29
6 Ir 0.721 0.443 0.058  -0.03



Result set for calculated density: 3.53 6.28 7.80 6.56 2.70 11.52 g/cm3, one per record in the order listed.